PBE MnCoReSe, optimized geometry; raw formation energy = 0.3499 eV per atom; VASP energy = -7.702 eV/atom; crystal system = monoclinic; space group = Cm (8)
1.0
4.043 -1.546 0.000
4.043 1.546 0.000
-3.448 0.000 4.476
Mn Co Re Se
1 1 1 1
direct
0.000 0.000 0.000
0.403 0.403 0.287
0.755 0.755 0.442
0.637 0.637 0.820

PBE MnCoReSe, optimized geometry; raw formation energy = 0.3242 eV per atom; VASP energy = -7.728 eV/atom; crystal system = monoclinic; space group = Cm (8)
1.0
4.844 -1.411 0.000
4.844 1.411 0.000
-1.836 0.000 3.868
Mn Co Re Se
1 1 1 1
direct
0.000 0.000 0.000
0.718 0.718 0.975
0.281 0.281 0.542
0.512 0.512 0.439

PBE MnCoReSe, optimized geometry; raw formation energy = 0.4170 eV per atom; VASP energy = -7.635 eV/atom; crystal system = monoclinic; space group = Cm (8)
1.0
4.322 -1.455 0.000
4.322 1.455 0.000
-0.258 0.000 4.414
Mn Co Re Se
1 1 1 1
direct
0.000 0.000 0.000
0.470 0.470 0.466
0.737 0.737 0.259
0.244 0.244 0.743